# 1
A relaxed Ca4MoRh crystal. Source: Alexandria via LeMat-Bulk, functional PBE.

The structure in CIF format:
```
data_Ca4MoRh
_chemical_formula_sum 'Ca16 Mo4 Rh4'
_symmetry_space_group_name_H-M 'F -4 3 m'
_symmetry_Int_Tables_number 216
_symmetry_space_group_name_Hall 'F -4 2 3'
_cell_length_a 8.718
_cell_length_b 8.718
_cell_length_c 8.718
_cell_angle_alpha 90.00
_cell_angle_beta 90.00
_cell_angle_gamma 90.00
loop_
_atom_site_label
_atom_site_type_symbol
_atom_site_fract_x
_atom_site_fract_y
_atom_site_fract_z
Ca1 Ca 0.125 0.125 0.125
Mo1 Mo 0.250 0.250 0.750
Rh1 Rh 0.000 0.000 0.500
```

Results
ΔE_f, eV per atom: 1.091
Size of the total moment, μB/cell: 16.28
Electronic total energy, eV per atom: -3.274

***

# 2
A relaxed LaY2N crystal. Source: Alexandria via LeMat-Bulk, functional PBE.

The structure in CIF format:
```
data_LaY2N
_chemical_formula_sum 'La1 Y2 N1'
_symmetry_space_group_name_H-M 'P 4/m m m'
_symmetry_Int_Tables_number 123
_symmetry_space_group_name_Hall '-P 4 2'
_cell_length_a 3.183
_cell_length_b 3.183
_cell_length_c 9.149
_cell_angle_alpha 90.00
_cell_angle_beta 90.00
_cell_angle_gamma 90.00
loop_
_atom_site_label
_atom_site_type_symbol
_atom_site_fract_x
_atom_site_fract_y
_atom_site_fract_z
La1 La 0.000 0.000 0.000
Y1 Y 0.500 0.500 0.345
N1 N 0.000 0.000 0.500
```

Results
Size of the total moment, μB/cell: 0.00
Electronic total energy, eV per atom: -6.718
Formation energy (no corrections), eV/atom: -0.1731

***

# 3
A relaxed ErGa2SiRh4 crystal. Source: Alexandria via LeMat-Bulk, functional PBE.

The structure in CIF format:
```
data_ErGa2SiRh4
_chemical_formula_sum 'Er3 Ga6 Si3 Rh12'
_symmetry_space_group_name_H-M 'R -3 m'
_symmetry_Int_Tables_number 166
_symmetry_space_group_name_Hall '-R 3 2"'
_cell_length_a 4.3482
_cell_length_b 4.3482
_cell_length_c 22.3735
_cell_angle_alpha 90.00
_cell_angle_beta 90.00
_cell_angle_gamma 120.00
loop_
_atom_site_label
_atom_site_type_symbol
_atom_site_fract_x
_atom_site_fract_y
_atom_site_fract_z
Er1 Er 0.0000 0.0000 0.0000
Ga1 Ga 0.0000 0.0000 0.2509
Si1 Si 0.0000 0.0000 0.5000
Rh1 Rh 0.0000 0.0000 0.1325
Rh2 Rh 0.0000 0.0000 0.3951
```

Results
Size of the total moment, μB/cell: 0.00
Electronic total energy, eV per atom: -6.479
Formation energy (no corrections), eV/atom: -0.7985

***

# 4
A relaxed NbV3C crystal. Source: Alexandria via LeMat-Bulk, functional PBE.

The structure in CIF format:
```
data_NbV3C
_chemical_formula_sum 'Nb1 V3 C1'
_symmetry_space_group_name_H-M 'P m -3 m'
_symmetry_Int_Tables_number 221
_symmetry_space_group_name_Hall '-P 4 2 3'
_cell_length_a 4.043
_cell_length_b 4.043
_cell_length_c 4.043
_cell_angle_alpha 90.00
_cell_angle_beta 90.00
_cell_angle_gamma 90.00
loop_
_atom_site_label
_atom_site_type_symbol
_atom_site_fract_x
_atom_site_fract_y
_atom_site_fract_z
Nb1 Nb 0.000 0.000 0.000
V1 V 0.000 0.500 0.500
C1 C 0.500 0.500 0.500
```

Results
ΔE_f, eV per atom: -0.132
Size of the total moment, μB/cell: 0.00
Electronic total energy, eV per atom: -9.462

***

# 5
A relaxed Nb2NiTe6 crystal. Source: Alexandria via LeMat-Bulk, functional PBE.

The structure in CIF format:
```
data_Nb2NiTe6
_chemical_formula_sum 'Nb4 Ni2 Te12'
_symmetry_space_group_name_H-M 'P 1 21/c 1'
_symmetry_Int_Tables_number 14
_symmetry_space_group_name_Hall '-P 2ybc'
_cell_length_a 6.960
_cell_length_b 7.017
_cell_length_c 11.028
_cell_angle_alpha 90.00
_cell_angle_beta 126.24
_cell_angle_gamma 90.00
loop_
_atom_site_label
_atom_site_type_symbol
_atom_site_fract_x
_atom_site_fract_y
_atom_site_fract_z
Nb1 Nb 0.223 0.158 0.244
Ni1 Ni 0.000 0.000 0.500
Te1 Te 0.088 0.163 0.926
Te2 Te 0.270 0.659 0.931
Te3 Te 0.403 0.516 0.261
```

Results
Size of the total moment, μB/cell: 0.00
Electronic total energy, eV per atom: -5.171
Formation energy (no corrections), eV/atom: -0.1962

***

# 6
A relaxed ErH8Ir2Pt crystal. Source: Alexandria via LeMat-Bulk, functional PBE.

The structure in CIF format:
```
data_ErH8Ir2Pt
_chemical_formula_sum 'Er2 H16 Ir4 Pt2'
_symmetry_space_group_name_H-M 'C 1 2/m 1'
_symmetry_Int_Tables_number 12
_symmetry_space_group_name_Hall '-C 2y'
_cell_length_a 9.147
_cell_length_b 3.988
_cell_length_c 6.053
_cell_angle_alpha 90.00
_cell_angle_beta 111.41
_cell_angle_gamma 90.00
loop_
_atom_site_label
_atom_site_type_symbol
_atom_site_fract_x
_atom_site_fract_y
_atom_site_fract_z
Er1 Er 0.000 0.000 0.000
H1 H 0.129 0.251 0.747
H2 H 0.138 0.500 0.040
H3 H 0.200 0.000 0.356
Ir1 Ir 0.247 0.500 0.323
Pt1 Pt 0.000 0.500 0.500
```

Results
Size of the total moment, μB/cell: 0.00
Electronic total energy, eV per atom: -4.726

***

# 7
A relaxed LiPaIr crystal. Source: Alexandria via LeMat-Bulk, functional PBE.

The structure in CIF format:
```
data_LiPaIr
_chemical_formula_sum 'Li1 Pa1 Ir1'
_symmetry_space_group_name_H-M 'P -6 m 2'
_symmetry_Int_Tables_number 187
_symmetry_space_group_name_Hall 'P -6 2'
_cell_length_a 4.4623
_cell_length_b 4.4623
_cell_length_c 3.1353
_cell_angle_alpha 90.00
_cell_angle_beta 90.00
_cell_angle_gamma 120.00
loop_
_atom_site_label
_atom_site_type_symbol
_atom_site_fract_x
_atom_site_fract_y
_atom_site_fract_z
Li1 Li 0.0000 0.0000 0.0000
Pa1 Pa 0.3333 0.6667 0.5000
Ir1 Ir 0.6667 0.3333 0.0000
```

Results
ΔE_f, eV per atom: -0.273
Size of the total moment, μB/cell: 0.48
Electronic total energy, eV per atom: -7.030

***

# 8
A relaxed ZrTaZnB2 crystal. Source: Alexandria via LeMat-Bulk, functional PBE.

The structure in CIF format:
```
data_ZrTaZnB2
_chemical_formula_sum 'Zr1 Ta1 Zn1 B2'
_symmetry_space_group_name_H-M 'P 4/m m m'
_symmetry_Int_Tables_number 123
_symmetry_space_group_name_Hall '-P 4 2'
_cell_length_a 4.393
_cell_length_b 4.393
_cell_length_c 5.151
_cell_angle_alpha 90.00
_cell_angle_beta 90.00
_cell_angle_gamma 90.00
loop_
_atom_site_label
_atom_site_type_symbol
_atom_site_fract_x
_atom_site_fract_y
_atom_site_fract_z
Zr1 Zr 0.000 0.000 0.000
Ta1 Ta 0.000 0.000 0.500
Zn1 Zn 0.500 0.500 0.500
B1 B 0.000 0.500 0.000
```

Results
ΔE_f, eV per atom: 1.909
Size of the total moment, μB/cell: 0.00
Electronic total energy, eV per atom: -5.097

***

# 9
A relaxed Si2AgSb crystal. Source: Alexandria via LeMat-Bulk, functional PBE.

The structure in CIF format:
```
data_Si2AgSb
_chemical_formula_sum 'Si6 Ag3 Sb3'
_symmetry_space_group_name_H-M 'R 3 m'
_symmetry_Int_Tables_number 160
_symmetry_space_group_name_Hall 'R 3 -2"'
_cell_length_a 3.8059
_cell_length_b 3.8059
_cell_length_c 19.3898
_cell_angle_alpha 90.00
_cell_angle_beta 90.00
_cell_angle_gamma 120.00
loop_
_atom_site_label
_atom_site_type_symbol
_atom_site_fract_x
_atom_site_fract_y
_atom_site_fract_z
Si1 Si 0.0000 0.0000 0.0000
Si2 Si 0.0000 0.0000 0.2810
Ag1 Ag 0.0000 0.0000 0.5289
Sb1 Sb 0.0000 0.0000 0.7644
```

Results
Size of the total moment, μB/cell: 0.00
Electronic total energy, eV per atom: -4.173
Formation energy (no corrections), eV/atom: 0.2820

***

# 10
A relaxed Ho2In2H crystal. Source: Alexandria via LeMat-Bulk, functional PBE.

The structure in CIF format:
```
data_Ho2In2H
_chemical_formula_sum 'Ho8 In8 H4'
_symmetry_space_group_name_H-M 'C m c 21'
_symmetry_Int_Tables_number 36
_symmetry_space_group_name_Hall 'C 2c -2'
_cell_length_a 3.693
_cell_length_b 12.108
_cell_length_c 10.090
_cell_angle_alpha 90.00
_cell_angle_beta 90.00
_cell_angle_gamma 90.00
loop_
_atom_site_label
_atom_site_type_symbol
_atom_site_fract_x
_atom_site_fract_y
_atom_site_fract_z
Ho1 Ho 0.000 0.052 0.000
Ho2 Ho 0.000 0.352 0.776
In1 In 0.000 0.223 0.512
In2 In 0.000 0.390 0.215
H1 H 0.000 0.090 0.205
```

Results
Size of the total moment, μB/cell: 0.00
Electronic total energy, eV per atom: -4.007

***

# 11
A relaxed CdP6Pb9O26 crystal. Source: Alexandria via LeMat-Bulk, functional PBE.

The structure in CIF format:
```
data_CdP6Pb9O26
_chemical_formula_sum 'Cd1 P6 Pb9 O26'
_symmetry_space_group_name_H-M 'P 1'
_symmetry_Int_Tables_number 1
_symmetry_space_group_name_Hall 'P 1'
_cell_length_a 7.448
_cell_length_b 9.857
_cell_length_c 9.872
_cell_angle_alpha 119.78
_cell_angle_beta 90.16
_cell_angle_gamma 90.12
loop_
_atom_site_label
_atom_site_type_symbol
_atom_site_fract_x
_atom_site_fract_y
_atom_site_fract_z
Cd1 Cd 0.000 0.000 0.000
P1 P 0.259 0.040 0.303
P2 P 0.264 0.702 0.738
P3 P 0.271 0.269 0.958
P4 P 0.780 0.071 0.725
P5 P 0.791 0.301 0.350
P6 P 0.792 0.643 0.935
Pb1 Pb 0.039 0.344 0.654
Pb2 Pb 0.277 0.902 0.562
Pb3 Pb 0.297 0.447 0.338
Pb4 Pb 0.298 0.669 0.111
Pb5 Pb 0.490 0.999 0.994
Pb6 Pb 0.524 0.331 0.665
Pb7 Pb 0.787 0.663 0.560
Pb8 Pb 0.787 0.901 0.326
Pb9 Pb 0.819 0.423 0.079
O1 O 0.115 0.920 0.293
O2 O 0.120 0.721 0.634
O3 O 0.123 0.373 0.080
O4 O 0.206 0.112 0.199
O5 O 0.215 0.802 0.914
O6 O 0.224 0.093 0.891
O7 O 0.283 0.313 0.828
O8 O 0.283 0.526 0.689
O9 O 0.284 0.173 0.476
O10 O 0.341 0.675 0.341
O11 O 0.438 0.946 0.239
O12 O 0.445 0.768 0.713
O13 O 0.449 0.307 0.054
O14 O 0.596 0.053 0.645
O15 O 0.618 0.401 0.415
O16 O 0.624 0.577 0.980
O17 O 0.784 0.995 0.830
O18 O 0.793 0.825 0.024
O19 O 0.794 0.173 0.397
O20 O 0.795 0.573 0.755
O21 O 0.804 0.228 0.167
O22 O 0.806 0.616 0.294
O23 O 0.816 0.256 0.831
O24 O 0.928 0.009 0.600
O25 O 0.953 0.414 0.433
O26 O 0.957 0.576 0.983
```

Results
Size of the total moment, μB/cell: 0.00
Electronic total energy, eV per atom: -6.446
Formation energy (no corrections), eV/atom: -1.7877

***

# 12
A relaxed Cu2ClO crystal. Source: Alexandria via LeMat-Bulk, functional PBE.

The structure in CIF format:
```
data_Cu2ClO
_chemical_formula_sum 'Cu6 Cl3 O3'
_symmetry_space_group_name_H-M 'R -3 m'
_symmetry_Int_Tables_number 166
_symmetry_space_group_name_Hall '-R 3 2"'
_cell_length_a 3.3461
_cell_length_b 3.3461
_cell_length_c 20.5107
_cell_angle_alpha 90.00
_cell_angle_beta 90.00
_cell_angle_gamma 120.00
loop_
_atom_site_label
_atom_site_type_symbol
_atom_site_fract_x
_atom_site_fract_y
_atom_site_fract_z
Cu1 Cu 0.0000 0.0000 0.0857
Cl1 Cl 0.0000 0.0000 0.5000
O1 O 0.0000 0.0000 0.0000
```

Results
Size of the total moment, μB/cell: 3.01
Electronic total energy, eV per atom: -3.734
Formation energy (no corrections), eV/atom: 0.0148

***

Question: Among the records above, which one has the highest size of the total moment?
Answer: Ca4MoRh

***

Question: What is the formula in the third record?
Answer: ErGa2SiRh4